Entry from Alexandria: an optimized crystal structure of PrZnHPt2 (PBE).

Raw total energy: -25.14 eV per formula unit

Geometry as CIF:
```
data_PrZnHPt2
_chemical_formula_sum 'Pr4 Zn4 H4 Pt8'
_cell_length_a 4.0342
_cell_length_b 10.9257
_cell_length_c 7.4455
_cell_angle_alpha 90.00
_cell_angle_beta 90.00
_cell_angle_gamma 90.00
_space_group_name_H-M_alt 'C m c m'
_space_group_IT_number 63
_space_group_name_Hall '-C 2c 2'
loop_
_atom_site_label
_atom_site_type_symbol
_atom_site_fract_x
_atom_site_fract_y
_atom_site_fract_z
_atom_site_occupancy
Pr1 Pr 0.0000 0.0568 0.2500 1
Zn1 Zn 0.0000 0.2260 0.7500 1
H1 H 0.0000 0.5000 0.0000 1
Pt1 Pt 0.0000 0.3440 0.0559 1
```

=====

Entry from Alexandria: an optimized crystal structure of Pr2ZnHPt6 (PBE).

Raw total energy: -57.65 eV per formula unit

Geometry as CIF:
```
data_Pr2ZnHPt6
_chemical_formula_sum 'Pr4 Zn2 H2 Pt12'
_cell_length_a 9.8741
_cell_length_b 5.7046
_cell_length_c 7.0896
_cell_angle_alpha 90.00
_cell_angle_beta 117.53
_cell_angle_gamma 90.00
_space_group_name_H-M_alt 'C 1 2/m 1'
_space_group_IT_number 12
loop_
_space_group_symop_operation_xyz
'x,y,z'
'-x,-y,-z'
'-x,y,-z'
'x,-y,z'
'x+1/2,y+1/2,z'
'-x+1/2,-y+1/2,-z'
'-x+1/2,y+1/2,-z'
'x+1/2,-y+1/2,z'
loop_
_atom_site_label
_atom_site_type_symbol
_atom_site_fract_x
_atom_site_fract_y
_atom_site_fract_z
_atom_site_occupancy
Pr1 Pr 0.2168 0.0000 0.1492 1
Zn1 Zn 0.0000 0.5000 0.0000 1
H1 H 0.0000 0.0000 0.5000 1
Pt1 Pt 0.0227 0.2525 0.3140 1
Pt2 Pt 0.2306 0.0000 0.6864 1
```

=====

Entry from Alexandria: an optimized crystal structure of PrPuH (PBE).

E above lowest polymorph: 0.113 eV per atom

Geometry as CIF:
```
data_PrPuH
_chemical_formula_sum 'Pr2 Pu2 H2'
_cell_length_a 3.4324
_cell_length_b 3.4324
_cell_length_c 9.1531
_cell_angle_alpha 90.00
_cell_angle_beta 90.00
_cell_angle_gamma 90.00
_space_group_name_H-M_alt 'P 4/n m m'
_space_group_IT_number 129
loop_
_space_group_symop_operation_xyz
'x,y,z'
'-x,-y,-z'
'-y+1/2,x,z'
'y+1/2,-x,-z'
'-x+1/2,-y+1/2,z'
'x+1/2,y+1/2,-z'
'y,-x+1/2,z'
'-y,x+1/2,-z'
'x+1/2,-y,-z'
'-x+1/2,y,z'
'-y,-x,-z'
'y,x,z'
'-x,y+1/2,-z'
'x,-y+1/2,z'
'y+1/2,x+1/2,-z'
'-y+1/2,-x+1/2,z'
loop_
_atom_site_label
_atom_site_type_symbol
_atom_site_fract_x
_atom_site_fract_y
_atom_site_fract_z
_atom_site_occupancy
Pr1 Pr 0.2500 0.2500 0.1560 1
Pu1 Pu 0.2500 0.7500 0.5000 1
H1 H 0.2500 0.2500 0.8976 1
```

=====

Entry from Alexandria: an optimized crystal structure of PrPuH4 (PBE).

Raw total energy: -35.42 eV per formula unit

Geometry as CIF:
```
data_PrPuH4
_chemical_formula_sum 'Pr1 Pu1 H4'
_cell_length_a 3.8364
_cell_length_b 3.8364
_cell_length_c 5.4023
_cell_angle_alpha 90.00
_cell_angle_beta 90.00
_cell_angle_gamma 90.00
_space_group_name_H-M_alt 'P 4/m m m'
_space_group_IT_number 123
_space_group_name_Hall '-P 4 2'
loop_
_atom_site_label
_atom_site_type_symbol
_atom_site_fract_x
_atom_site_fract_y
_atom_site_fract_z
_atom_site_occupancy
Pr1 Pr 0.0000 0.0000 0.0000 1
Pu1 Pu 0.5000 0.5000 0.5000 1
H1 H 0.0000 0.5000 0.2612 1
```

=====

Entry from Alexandria: an optimized crystal structure of Pr2PuH8 (PBE).

Raw total energy: -56.24 eV per formula unit

Geometry as CIF:
```
data_Pr2PuH8
_chemical_formula_sum 'Pr4 Pu2 H16'
_cell_length_a 3.8083
_cell_length_b 5.4800
_cell_length_c 11.3698
_cell_angle_alpha 90.00
_cell_angle_beta 90.00
_cell_angle_gamma 90.00
_space_group_name_H-M_alt 'I m m m'
_space_group_IT_number 71
_space_group_name_Hall '-I 2 2'
loop_
_atom_site_label
_atom_site_type_symbol
_atom_site_fract_x
_atom_site_fract_y
_atom_site_fract_z
_atom_site_occupancy
Pr1 Pr 0.0000 0.0000 0.1698 1
Pu1 Pu 0.0000 0.0000 0.5000 1
H1 H 0.0000 0.2411 0.0000 1
H2 H 0.0000 0.2579 0.3440 1
H3 H 0.0000 0.5000 0.1570 1
```

=====

Entry from Alexandria: an optimized crystal structure of Pr3Pu5H12 (PBE).

Raw total energy: -130.80 eV per formula unit

Geometry as CIF:
```
data_Pr3Pu5H12
_chemical_formula_sum 'Pr24 Pu40 H96'
_cell_length_a 13.3443
_cell_length_b 13.3443
_cell_length_c 13.3443
_cell_angle_alpha 90.00
_cell_angle_beta 90.00
_cell_angle_gamma 90.00
_space_group_name_H-M_alt 'I a -3 d'
_space_group_IT_number 230
_space_group_name_Hall '-I 4bd 2c 3'
loop_
_atom_site_label
_atom_site_type_symbol
_atom_site_fract_x
_atom_site_fract_y
_atom_site_fract_z
_atom_site_occupancy
Pr1 Pr 0.0000 0.2500 0.1250 1
Pu1 Pu 0.0000 0.0000 0.0000 1
Pu2 Pu 0.0000 0.2500 0.3750 1
H1 H 0.0068 0.0714 0.6523 1
```

=====

no.,magnetic moment (μB/cell),mass density (g/cm³)
1,0.00,12.09
2,0.00,14.24
3,0.00,11.89
4,5.51,8.12
5,10.81,7.47
6,56.52,9.25